Entry from the Alexandria database: a relaxed structure of NiTeAs2Se (PBE-GGA).

formation energy from raw total energies	1.37	eV/atom
relative energy among the computed polymorphs	1018.6	meV/atom
density of states at the Fermi level	9.828	states/eV per cell
symmetry	P4/mmm

a b c (Å): 5.294 5.294 5.310
angles (deg): 90.00 90.00 90.00
Each line ends with the local moment (μB).
Element x y z (fractional)
Te1 0.000 0.000 0.000  -0.02
As1 0.000 0.500 0.000  0.10
Se1 0.000 0.000 0.500  0.07
As2 0.500 0.000 0.000  0.10
Ni1 0.500 0.500 0.500  0.95

Entry from the Alexandria database: a relaxed structure of RbFeAgP (PBE-GGA).

energy relative to the elements	-275.1	meV per atom
density of states at the Fermi level	5.450	states/eV per cell
symmetry	P4/nmm

a b c (Å): 3.848 3.848 12.813
angles (deg): 90.00 90.00 90.00
Element x y z (fractional)
Fe1 0.250 0.750 0.000
Ag1 0.750 0.250 0.500
P1 0.750 0.750 0.916
Fe2 0.750 0.250 0.000
Rb1 0.250 0.250 0.749
Rb2 0.750 0.750 0.251
P2 0.250 0.250 0.084
Ag2 0.250 0.750 0.500

Entry from the Alexandria database: a relaxed structure of Pu2HPb (PBE-GGA).

relative energy among the computed polymorphs	0.0	meV/atom
density of states at the Fermi level	22.801	states/eV per cell
symmetry	Cmmm

a b c (Å): 4.307 4.727 8.667
angles (deg): 105.82 90.00 90.00
Each line ends with the local moment (μB).
Element x y z (fractional)
Pu1 0.500 0.308 0.616  5.44
Pb1 0.000 0.149 0.297  -0.02
Pu2 0.500 0.692 0.384  5.44
H1 0.500 0.558 0.115  0.02
Pb2 0.000 0.851 0.703  -0.02
Pu3 0.000 0.500 0.000  -5.55
H2 0.500 0.442 0.885  0.02
Pu4 0.500 0.000 0.000  -5.62

Entry from the Alexandria database: a relaxed structure of Cu2SbAu (PBE-GGA).

formation energy from raw total energies	0.09	eV/atom
density of states at the Fermi level	1.400	states/eV per cell
symmetry	I-4m2

a b c (Å): 5.087 5.087 5.087
angles (deg): 133.90 133.90 67.24
Element x y z (fractional)
Cu1 0.000 0.000 0.000
Sb1 0.500 0.500 0.000
Au1 0.750 0.250 0.500
Cu2 0.250 0.750 0.500

Entry from the Alexandria database: a relaxed structure of LiMn2Rh2 (PBE-GGA).

relative energy among the computed polymorphs	82.8	meV/atom
energy relative to the elements	73.1	meV per atom
density of states at the Fermi level	14.241	states/eV per cell
symmetry	P4/mbm

a b c (Å): 7.175 7.175 2.630
angles (deg): 90.00 90.00 90.00
Element x y z (fractional)
Rh1 0.676 0.824 0.500
Mn1 0.886 0.614 0.000
Rh2 0.824 0.324 0.500
Rh3 0.324 0.176 0.500
Mn2 0.114 0.386 0.000
Mn3 0.614 0.114 0.000
Li1 0.000 0.000 0.000
Rh4 0.176 0.676 0.500
Li2 0.500 0.500 0.000
Mn4 0.386 0.886 0.000

Entry from the Alexandria database: a relaxed structure of AlTlTc2 (PBE-GGA).

relative energy among the computed polymorphs	298.4	meV/atom
energy relative to the elements	425.8	meV per atom
density of states at the Fermi level	5.253	states/eV per cell
symmetry	Fm-3m

a b c (Å): 4.514 4.514 4.514
angles (deg): 60.00 60.00 60.00
Element x y z (fractional)
Tl1 0.500 0.500 0.500
Tc1 0.250 0.250 0.250
Al1 0.000 0.000 0.000
Tc2 0.750 0.750 0.750

Entry from the Alexandria database: a relaxed structure of Be3BPd (PBE-GGA).

relative energy among the computed polymorphs	1214.0	meV/atom
energy relative to the elements	1241.2	meV per atom
density of states at the Fermi level	2.355	states/eV per cell
symmetry	Pm-3m

a b c (Å): 4.188 4.188 4.188
angles (deg): 90.00 90.00 90.00
Element x y z (fractional)
Pd1 0.000 0.000 0.000
Be1 0.500 0.000 0.000
Be2 0.000 0.500 0.000
Be3 0.000 0.000 0.500
B1 0.500 0.500 0.500

Entry from the Alexandria database: a relaxed structure of ScCo (PBE-GGA).

energy relative to the elements	-179.9	meV per atom
density of states at the Fermi level	11.453	states/eV per cell
symmetry	P6_3/mmc

a b c (Å): 7.912 7.912 3.958
angles (deg): 90.00 90.00 120.00
Each line ends with the local moment (μB).
Element x y z (fractional)
Co1 0.434 0.869 0.250  0.59
Sc1 0.196 0.392 0.750  -0.11
Sc2 0.804 0.608 0.250  -0.11
Co2 0.131 0.565 0.250  0.59
Sc3 0.608 0.804 0.750  -0.11
Co3 0.565 0.434 0.750  0.59
Co4 0.435 0.566 0.250  0.59
Sc4 0.392 0.196 0.250  -0.11
Co5 0.566 0.131 0.750  0.59
Sc5 0.196 0.804 0.750  -0.11
Sc6 0.804 0.196 0.250  -0.11
Co6 0.869 0.435 0.750  0.59

Entry from the Alexandria database: a relaxed structure of Mg2SbSe (PBE-GGA).

formation energy from raw total energies	-0.45	eV/atom
relative energy among the computed polymorphs	259.1	meV/atom
density of states at the Fermi level	1.759	states/eV per cell
symmetry	Cmmm

a b c (Å): 3.555 3.555 7.784
angles (deg): 90.00 90.00 108.00
Element x y z (fractional)
Sb1 0.500 0.500 0.250
Mg1 0.000 0.000 0.531
Mg2 0.000 0.000 0.969
Se1 0.500 0.500 0.750

Entry from the Alexandria database: a relaxed structure of Ca2PuNi9 (PBE-GGA).

energy relative to the elements	-180.5	meV per atom
density of states at the Fermi level	20.625	states/eV per cell
symmetry	R-3m

a b c (Å): 4.974 4.974 8.636
angles (deg): 73.26 73.26 60.00
Each line ends with the local moment (μB).
Element x y z (fractional)
Ni1 0.420 0.420 0.242  -0.35
Ni2 0.500 0.500 0.500  -0.22
Ni3 0.420 0.918 0.242  -0.35
Ni4 0.580 0.580 0.758  -0.35
Ni5 0.667 0.667 0.998  -0.44
Ca1 0.141 0.141 0.576  0.04
Ca2 0.859 0.859 0.424  0.04
Ni6 0.333 0.333 0.002  -0.44
Pu1 0.000 0.000 0.000  5.01
Ni7 0.918 0.420 0.242  -0.35
Ni8 0.580 0.082 0.758  -0.35
Ni9 0.082 0.580 0.758  -0.35

Entry from the Alexandria database: a relaxed structure of LiAcSnO4 (PBE-GGA).

formation energy from raw total energies	-2.23	eV/atom
density of states at the Fermi level	0.000	states/eV per cell
symmetry	Imma

a b c (Å): 6.438 7.083 8.037
angles (deg): 124.57 90.00 117.03
Element x y z (fractional)
Sn1 0.500 0.500 0.500
Ac1 0.500 0.000 0.000
O1 0.753 0.506 0.678
O2 0.247 0.494 0.672
Li1 0.036 0.073 0.786
O3 0.753 0.506 0.328
O4 0.764 0.062 0.281
Li2 0.964 0.927 0.214
O5 0.298 0.062 0.281
O6 0.247 0.494 0.322
Sn2 0.000 0.500 0.500
Ac2 0.500 0.000 0.500
O7 0.702 0.938 0.719
O8 0.236 0.938 0.719

Entry from the Alexandria database: a relaxed structure of CrC7 (PBE-GGA).

energy relative to the elements	3437.1	meV per atom
density of states at the Fermi level	4.468	states/eV per cell
symmetry	Fm-3m

a b c (Å): 4.322 4.322 4.322
angles (deg): 60.00 60.00 60.00
Element x y z (fractional)
Cr1 0.000 0.000 0.000
C1 0.000 0.500 0.500
C2 0.500 0.500 0.000
C3 0.000 0.500 0.000
C4 0.000 0.000 0.500
C5 0.500 0.000 0.500
C6 0.500 0.500 0.500
C7 0.500 0.000 0.000